No. 1
ZnCd2Bi2 | PBE | optimized geometry

Cell: 9.080 9.080 3.455 Å, 90.00 90.00 90.00°
Fractional coordinates of all 10 atoms:
Cd (0.350, 0.850, 0.000)
Cd (0.850, 0.650, 0.000)
Cd (0.150, 0.350, 0.000)
Cd (0.650, 0.150, 0.000)
Bi (0.648, 0.852, 0.500)
Zn (0.000, 0.000, 0.000)
Zn (0.500, 0.500, 0.000)
Bi (0.148, 0.648, 0.500)
Bi (0.852, 0.352, 0.500)
Bi (0.352, 0.148, 0.500)

Calculated values
Relative energy among the computed polymorphs, meV per atom: 57.3
E_form, meV per atom: 241
Theoretical density, g/cm³: 8.26
Magnetic moment, μB/f.u.: 0.00
Symmetry: No. 127


No. 2
Zn2Cd2Bi | PBE | optimized geometry

Cell: 8.269 8.269 3.281 Å, 90.00 90.00 90.00°
Fractional coordinates of all 10 atoms:
Cd (0.370, 0.870, 0.000)
Zn (0.168, 0.668, 0.500)
Bi (0.000, 0.000, 0.000)
Bi (0.500, 0.500, 0.000)
Cd (0.630, 0.130, 0.000)
Zn (0.832, 0.332, 0.500)
Zn (0.332, 0.168, 0.500)
Cd (0.870, 0.630, 0.000)
Cd (0.130, 0.370, 0.000)
Zn (0.668, 0.832, 0.500)

Calculated values
Relative energy among the computed polymorphs, meV per atom: 26.1
E_form, meV per atom: 138
Theoretical density, g/cm³: 8.36
Magnetic moment, μB/f.u.: 0.00
Symmetry: No. 127


No. 3
Zn2Cd2Bi | PBE | optimized geometry

Cell: 8.116 8.116 3.370 Å, 90.00 90.00 90.00°
Fractional coordinates of all 10 atoms:
Zn (0.883, 0.617, 0.000)
Cd (0.179, 0.679, 0.500)
Cd (0.821, 0.321, 0.500)
Zn (0.117, 0.383, 0.000)
Cd (0.679, 0.821, 0.500)
Cd (0.321, 0.179, 0.500)
Zn (0.617, 0.117, 0.000)
Bi (0.000, 0.000, 0.000)
Zn (0.383, 0.883, 0.000)
Bi (0.500, 0.500, 0.000)

Calculated values
Relative energy among the computed polymorphs, meV per atom: 0.0
E_form, meV per atom: 112
Theoretical density, g/cm³: 8.45
Magnetic moment, μB/f.u.: 0.00
Symmetry: No. 127


No. 4
ZnCd3Bi | PBE | optimized geometry

Cell: 5.924 5.924 5.924 Å, 90.00 90.00 90.00°
Fractional coordinates of all 5 atoms:
Zn (0.500, 0.500, 0.500)
Cd (0.000, 0.500, 0.000)
Cd (0.000, 0.000, 0.500)
Cd (0.500, 0.000, 0.000)
Bi (0.000, 0.000, 0.000)

Calculated values
Relative energy among the computed polymorphs, meV per atom: 169.7
E_form, meV per atom: 470
Theoretical density, g/cm³: 4.89
Magnetic moment, μB/f.u.: 0.00
Symmetry: No. 221


No. 5
ZrZnCdBi2 | PBE | optimized geometry

Cell: 5.537 5.560 5.537 Å, 90.00 90.00 90.00°
Fractional coordinates of all 5 atoms:
Bi (0.000, 0.000, 0.500)
Zr (0.000, 0.500, 0.000)
Cd (0.000, 0.000, 0.000)
Zn (0.500, 0.500, 0.500)
Bi (0.500, 0.000, 0.000)

Calculated values
E_form, meV per atom: 955
Theoretical density, g/cm³: 6.69
Magnetic moment, μB/f.u.: 0.82
Symmetry: No. 123


No. 6
Zr6CdBi3 | PBE | optimized geometry

Cell: 7.484 8.685 8.685 Å, 114.70 90.00 90.00°
Fractional coordinates of all 20 atoms:
Zr (0.607, 0.619, 0.767)
Zr (0.808, 0.987, 0.558)
Zr (0.308, 0.013, 0.442)
Zr (0.107, 0.767, 0.619)
Cd (0.610, 0.820, 0.180)
Zr (0.808, 0.442, 0.013)
Zr (0.107, 0.381, 0.233)
Zr (0.607, 0.233, 0.381)
Bi (0.772, 0.580, 0.420)
Bi (0.970, 0.096, 0.298)
Bi (0.970, 0.702, 0.904)
Zr (0.539, 0.261, 0.739)
Zr (0.039, 0.739, 0.261)
Bi (0.470, 0.904, 0.702)
Cd (0.110, 0.180, 0.820)
Zr (0.308, 0.558, 0.987)
Zr (0.795, 0.051, 0.949)
Bi (0.470, 0.298, 0.096)
Zr (0.295, 0.949, 0.051)
Bi (0.272, 0.420, 0.580)

Calculated values
E_form, meV per atom: -114
Theoretical density, g/cm³: 8.33
Magnetic moment, μB/f.u.: 0.00
Symmetry: No. 36


No. 7
Zr2CdBi | PBE | optimized geometry

Cell: 5.756 5.974 6.283 Å, 101.45 91.50 116.50°
Fractional coordinates of all 8 atoms:
Cd (0.216, 0.803, 0.665)
Cd (0.676, 0.798, 0.437)
Bi (0.274, 0.872, 0.157)
Zr (0.224, 0.276, 0.504)
Zr (0.286, 0.349, 0.017)
Zr (0.763, 0.857, 0.951)
Zr (0.815, 0.384, 0.274)
Bi (0.745, 0.312, 0.761)

Calculated values
E_form, meV per atom: -163
Theoretical density, g/cm³: 8.91
Magnetic moment, μB/f.u.: 0.00
Symmetry: No. 1


No. 8
Zr2CdBi | PBE | optimized geometry

Cell: 3.260 4.443 6.477 Å, 90.00 96.81 90.00°
Fractional coordinates of all 4 atoms:
Bi (0.000, 0.000, 0.500)
Cd (0.000, 0.000, 0.000)
Zr (0.464, 0.500, 0.760)
Zr (0.536, 0.500, 0.240)

Calculated values
E_form, meV per atom: -149
Theoretical density, g/cm³: 8.98
Magnetic moment, μB/f.u.: 0.00
Symmetry: No. 10


No. 9
ZrCdBi | PBE | optimized geometry

Cell: 5.952 6.950 8.380 Å, 90.00 90.00 115.35°
Fractional coordinates of all 12 atoms:
Cd (0.838, 0.175, 0.250)
Bi (0.823, 0.646, 0.436)
Bi (0.677, 0.354, 0.936)
Cd (0.162, 0.825, 0.750)
Cd (0.662, 0.825, 0.750)
Bi (0.323, 0.646, 0.064)
Bi (0.177, 0.354, 0.564)
Zr (0.894, 0.788, 0.104)
Zr (0.394, 0.788, 0.396)
Zr (0.106, 0.212, 0.896)
Zr (0.606, 0.212, 0.604)
Cd (0.338, 0.175, 0.250)

Calculated values
Relative energy among the computed polymorphs, meV per atom: 21.8
E_form, meV per atom: -75
Theoretical density, g/cm³: 8.75
Magnetic moment, μB/f.u.: 0.00
Symmetry: No. 64


No. 10
ZrCdBi3 | PBE | optimized geometry

Cell: 5.555 5.555 5.555 Å, 90.00 90.00 90.00°
Fractional coordinates of all 5 atoms:
Bi (0.500, 0.000, 0.000)
Cd (0.000, 0.000, 0.000)
Bi (0.000, 0.500, 0.000)
Bi (0.000, 0.000, 0.500)
Zr (0.500, 0.500, 0.500)

Calculated values
Relative energy among the computed polymorphs, meV per atom: 612.3
E_form, meV per atom: 891
Theoretical density, g/cm³: 8.05
Magnetic moment, μB/f.u.: 1.24
Symmetry: No. 221


No. 11
Zr2CdBi2 | PBE | optimized geometry

Cell: 8.065 8.065 3.951 Å, 90.00 90.00 90.00°
Fractional coordinates of all 10 atoms:
Zr (0.860, 0.640, 0.000)
Bi (0.657, 0.843, 0.500)
Zr (0.360, 0.860, 0.000)
Bi (0.157, 0.657, 0.500)
Cd (0.500, 0.500, 0.000)
Zr (0.140, 0.360, 0.000)
Bi (0.843, 0.343, 0.500)
Bi (0.343, 0.157, 0.500)
Zr (0.640, 0.140, 0.000)
Cd (0.000, 0.000, 0.000)

Calculated values
Relative energy among the computed polymorphs, meV per atom: 0.0
E_form, meV per atom: -207
Theoretical density, g/cm³: 9.21
Magnetic moment, μB/f.u.: 0.00
Symmetry: No. 127


No. 12
ZrCd2Bi | PBE | optimized geometry

Cell: 3.276 3.276 11.718 Å, 81.97 81.97 60.00°
Fractional coordinates of all 4 atoms:
Bi (0.500, 0.500, 0.500)
Cd (0.915, 0.915, 0.256)
Zr (0.000, 0.000, 0.000)
Cd (0.085, 0.085, 0.744)

Calculated values
E_form, meV per atom: 346
Theoretical density, g/cm³: 8.11
Magnetic moment, μB/f.u.: 0.00
Symmetry: No. 166


No. 13
Zr2CdBi | PBE | optimized geometry

Cell: 3.239 3.239 11.276 Å, 81.74 81.74 60.00°
Fractional coordinates of all 4 atoms:
Cd (0.500, 0.500, 0.500)
Bi (0.000, 0.000, 0.000)
Zr (0.911, 0.911, 0.268)
Zr (0.089, 0.089, 0.732)

Calculated values
E_form, meV per atom: 178
Theoretical density, g/cm³: 8.28
Magnetic moment, μB/f.u.: 0.00
Symmetry: No. 166


No. 14
ZrCdBi | PBE | optimized geometry

Cell: 4.152 4.152 8.852 Å, 90.00 90.00 90.00°
Fractional coordinates of all 6 atoms:
Zr (0.000, 0.500, 0.717)
Cd (0.000, 0.000, 0.000)
Cd (0.500, 0.500, 0.000)
Zr (0.500, 0.000, 0.283)
Bi (0.000, 0.500, 0.357)
Bi (0.500, 0.000, 0.643)

Calculated values
Relative energy among the computed polymorphs, meV per atom: 0.0
E_form, meV per atom: -97
Theoretical density, g/cm³: 8.98
Magnetic moment, μB/f.u.: 0.00
Symmetry: No. 129


No. 15
ZrCd2Bi2 | PBE | optimized geometry

Cell: 8.059 8.059 4.025 Å, 90.00 90.00 90.00°
Fractional coordinates of all 10 atoms:
Zr (0.500, 0.500, 0.000)
Cd (0.374, 0.874, 0.000)
Cd (0.874, 0.626, 0.000)
Bi (0.822, 0.322, 0.500)
Cd (0.626, 0.126, 0.000)
Bi (0.178, 0.678, 0.500)
Cd (0.126, 0.374, 0.000)
Zr (0.000, 0.000, 0.000)
Bi (0.322, 0.178, 0.500)
Bi (0.678, 0.822, 0.500)

Calculated values
Relative energy among the computed polymorphs, meV per atom: 34.1
E_form, meV per atom: 164
Theoretical density, g/cm³: 9.32
Magnetic moment, μB/f.u.: 0.00
Symmetry: No. 127


No. 16
ZrCdBi | PBE | optimized geometry

Cell: 3.146 5.247 5.247 Å, 120.00 90.00 90.00°
Fractional coordinates of all 3 atoms:
Cd (0.490, 0.333, 0.667)
Bi (0.510, 0.667, 0.333)
Zr (0.001, 0.000, 0.000)

Calculated values
Relative energy among the computed polymorphs, meV per atom: 203.5
E_form, meV per atom: 107
Theoretical density, g/cm³: 9.13
Magnetic moment, μB/f.u.: 0.00
Symmetry: No. 156


No. 17
Zr2CdBi | PBE | optimized geometry

Cell: 6.634 4.116 7.590 Å, 90.00 114.99 90.00°
Fractional coordinates of all 8 atoms:
Cd (0.273, 0.000, 0.468)
Zr (0.549, 0.000, 0.947)
Bi (0.454, 0.500, 0.211)
Zr (0.928, 0.500, 0.215)
Zr (0.794, 0.000, 0.480)
Cd (0.174, 0.500, 0.696)
Bi (0.731, 0.500, 0.757)
Zr (0.096, 0.000, 0.992)

Calculated values
E_form, meV per atom: -183
Theoretical density, g/cm³: 8.91
Magnetic moment, μB/f.u.: 0.00
Symmetry: No. 6


No. 18
Zr2CdBi | PBE | optimized geometry

Cell: 7.624 6.306 7.766 Å, 90.00 90.00 90.00°
Fractional coordinates of all 16 atoms:
Zr (0.807, 0.500, 0.750)
Cd (0.701, 0.000, 0.250)
Zr (0.500, 0.750, 0.952)
Zr (0.500, 0.250, 0.548)
Zr (0.307, 0.000, 0.250)
Bi (0.000, 0.250, 0.054)
Zr (0.693, 0.500, 0.250)
Bi (0.000, 0.750, 0.446)
Zr (0.193, 0.000, 0.750)
Bi (0.500, 0.750, 0.554)
Zr (0.000, 0.750, 0.048)
Cd (0.299, 0.500, 0.250)
Cd (0.201, 0.500, 0.750)
Cd (0.799, 0.000, 0.750)
Zr (0.000, 0.250, 0.452)
Bi (0.500, 0.250, 0.946)

Calculated values
E_form, meV per atom: -190
Theoretical density, g/cm³: 8.96
Magnetic moment, μB/f.u.: 0.00
Symmetry: No. 24


No. 19
Zr2CdBi | PBE | optimized geometry

Cell: 4.393 4.584 4.584 Å, 90.00 90.00 90.00°
Fractional coordinates of all 4 atoms:
Zr (0.000, 0.500, 0.000)
Bi (0.500, 0.500, 0.500)
Cd (0.500, 0.000, 0.000)
Zr (0.000, 0.000, 0.500)

Calculated values
E_form, meV per atom: -154
Theoretical density, g/cm³: 9.06
Magnetic moment, μB/f.u.: 0.00
Symmetry: No. 123


No. 20
Zr12Cd3Bi | PBE | optimized geometry

Cell: 4.483 4.483 17.871 Å, 90.00 90.00 90.00°
Fractional coordinates of all 16 atoms:
Cd (0.000, 0.000, 0.748)
Bi (0.000, 0.000, 0.000)
Zr (0.500, 0.000, 0.625)
Zr (0.500, 0.000, 0.375)
Cd (0.000, 0.000, 0.500)
Zr (0.500, 0.000, 0.127)
Zr (0.000, 0.500, 0.873)
Zr (0.500, 0.000, 0.873)
Zr (0.500, 0.500, 0.747)
Cd (0.000, 0.000, 0.252)
Zr (0.500, 0.500, 0.000)
Zr (0.000, 0.500, 0.127)
Zr (0.000, 0.500, 0.375)
Zr (0.000, 0.500, 0.625)
Zr (0.500, 0.500, 0.253)
Zr (0.500, 0.500, 0.500)

Calculated values
E_form, meV per atom: -104
Theoretical density, g/cm³: 7.59
Magnetic moment, μB/f.u.: 0.00
Symmetry: No. 123


No. 21
Zr2CdBi | PBE | optimized geometry

Cell: 5.701 6.078 6.227 Å, 100.97 89.94 116.95°
Fractional coordinates of all 8 atoms:
Bi (0.532, 0.115, 0.164)
Bi (0.021, 0.553, 0.788)
Zr (0.995, 0.059, 0.900)
Zr (0.060, 0.646, 0.299)
Cd (0.579, 0.672, 0.526)
Cd (0.480, 0.109, 0.659)
Zr (0.043, 0.154, 0.404)
Zr (0.524, 0.578, 0.025)

Calculated values
E_form, meV per atom: -168
Theoretical density, g/cm³: 8.90
Magnetic moment, μB/f.u.: 0.00
Symmetry: No. 1


No. 22
ZrCdBi3 | PBE | optimized geometry

Cell: 5.688 5.688 5.688 Å, 90.00 90.00 90.00°
Fractional coordinates of all 5 atoms:
Zr (0.000, 0.000, 0.000)
Bi (0.000, 0.000, 0.500)
Bi (0.000, 0.500, 0.000)
Bi (0.500, 0.000, 0.000)
Cd (0.500, 0.500, 0.500)

Calculated values
Relative energy among the computed polymorphs, meV per atom: 0.0
E_form, meV per atom: 279
Theoretical density, g/cm³: 7.49
Magnetic moment, μB/f.u.: 0.00
Symmetry: No. 221


No. 23
Zr2CdBi | PBE | optimized geometry

Cell: 3.768 3.768 6.551 Å, 90.00 90.00 90.00°
Fractional coordinates of all 4 atoms:
Zr (0.000, 0.000, 0.752)
Zr (0.000, 0.000, 0.248)
Cd (0.500, 0.500, 0.500)
Bi (0.500, 0.500, 0.000)

Calculated values
E_form, meV per atom: -145
Theoretical density, g/cm³: 8.99
Magnetic moment, μB/f.u.: 0.00
Symmetry: No. 123


No. 24
Zr2CdBi | PBE | optimized geometry

Cell: 3.815 3.815 8.457 Å, 76.96 76.96 60.00°
Fractional coordinates of all 4 atoms:
Zr (0.252, 0.252, 0.245)
Zr (0.082, 0.082, 0.754)
Bi (0.667, 0.667, 0.998)
Cd (0.499, 0.499, 0.503)

Calculated values
E_form, meV per atom: 137
Theoretical density, g/cm³: 8.13
Magnetic moment, μB/f.u.: 0.39
Symmetry: No. 160